<i>
12
Lattice="8.795 -2.390 0.000 8.795 2.390 0.000 -0.633 0.000 9.460" Properties=species:S:1:pos:R:3 comment="RbCuSnTe3 | OQMD | PBE | relaxed" sg="C2/m, No. 12" pbc="T T T"
Rb 2.570 0.000 0.827
Rb 14.387 0.000 8.634
Cu 8.231 0.000 6.163
Cu 8.726 0.000 3.297
Sn 2.552 0.000 5.560
Sn 14.406 0.000 3.900
Te -0.316 0.000 4.730
Te 5.552 0.000 5.975
Te 6.463 0.000 1.985
Te 8.795 0.000 0.000
Te 10.494 0.000 7.476
Te 11.405 0.000 3.486

***

<ii>
24
Lattice="12.152 0.000 0.000 0.000 4.504 0.000 0.000 0.000 13.975" Properties=species:S:1:pos:R:3 comment="RbCuSnTe3 | OQMD | PBE | relaxed" sg="Pnma, No. 62" pbc="T T T"
Rb 3.042 1.126 0.322
Rb 3.034 3.378 7.309
Rb 9.118 1.126 6.666
Rb 9.110 3.378 13.654
Cu 3.035 1.126 4.566
Cu 3.041 3.378 11.554
Cu 9.111 1.126 2.422
Cu 9.117 3.378 9.409
Sn 0.014 1.126 10.482
Sn 6.062 3.378 3.494
Sn 6.090 1.126 10.481
Sn 12.138 3.378 3.494
Te 0.554 1.126 5.546
Te 0.562 3.378 12.541
Te 3.031 3.378 3.248
Te 3.045 1.126 10.235
Te 5.514 1.126 5.554
Te 5.522 3.378 12.533
Te 6.630 1.126 1.442
Te 6.639 3.378 8.422
Te 9.107 3.378 3.740
Te 9.121 1.126 10.727
Te 11.590 1.126 1.434
Te 11.598 3.378 8.429

***

<ii> (32 meV/atom below the next structure)

***

<i>
12
Lattice="2.065 -8.249 0.000 2.065 8.249 0.000 0.000 0.000 11.733" Properties=species:S:1:pos:R:3 comment="RbCuSnTe3 | OQMD | PBE | relaxed" sg="Cmcm, No. 63" pbc="T T T"
Rb 2.065 4.239 8.800
Rb 2.065 -4.239 2.933
Cu 2.065 7.440 2.933
Cu 2.065 -7.440 8.800
Sn 2.065 0.000 0.000
Sn 2.065 0.000 5.866
Te 2.065 6.165 0.632
Te 2.065 6.165 5.234
Te 2.065 0.860 2.933
Te 2.065 -0.860 8.800
Te 2.065 -6.165 6.499
Te 2.065 -6.165 11.100

***

<ii>
24
Lattice="14.097 0.000 0.000 0.000 4.537 0.000 0.000 0.000 12.434" Properties=species:S:1:pos:R:3 comment="RbCuSnTe3 | OQMD | PBE | relaxed" sg="Pnma, No. 62" pbc="T T T"
Rb 2.183 1.134 0.039
Rb 4.865 3.403 6.256
Rb 9.232 1.134 6.177
Rb 11.914 3.403 12.394
Cu 3.356 3.403 9.806
Cu 3.692 1.134 3.589
Cu 10.405 3.403 8.845
Cu 10.741 1.134 2.628
Sn 0.235 3.403 4.373
Sn 6.813 1.134 10.590
Sn 7.284 3.403 1.844
Sn 13.862 1.134 8.061
Te 0.788 3.403 9.829
Te 1.772 1.134 5.912
Te 2.744 3.403 2.903
Te 4.304 1.134 9.120
Te 5.276 3.403 12.129
Te 6.261 1.134 3.612
Te 7.836 3.403 8.822
Te 8.821 1.134 0.305
Te 9.793 3.403 3.314
Te 11.353 1.134 9.530
Te 12.325 3.403 6.522
Te 13.309 1.134 2.605

***

<iii>
24
Lattice="10.625 0.000 0.000 0.000 4.331 0.000 0.000 0.000 16.825" Properties=species:S:1:pos:R:3 comment="RbCuSnTe3 | OQMD | PBE | relaxed" sg="Pnma, No. 62" pbc="T T T"
Rb 0.582 1.083 2.964
Rb 4.731 3.248 11.377
Rb 5.894 1.083 5.448
Rb 10.043 3.248 13.861
Cu 1.984 1.083 10.598
Cu 3.328 3.248 2.186
Cu 7.297 1.083 14.639
Cu 8.641 3.248 6.227
Sn 1.695 3.248 7.395
Sn 3.618 1.083 15.807
Sn 7.007 3.248 1.018
Sn 8.930 1.083 9.430
Te 0.482 3.248 10.240
Te 1.842 3.248 0.069
Te 2.239 1.083 13.137
Te 3.073 3.248 4.724
Te 3.471 1.083 8.481
Te 4.831 1.083 1.827
Te 5.794 3.248 14.997
Te 7.154 3.248 8.344
Te 7.551 1.083 12.101
Te 8.386 3.248 3.688
Te 8.783 1.083 16.756
Te 10.143 1.083 6.585

***

<ii> (16 meV/atom below the next structure)

***

<i>
3
Lattice="0.000 3.400 3.400 3.400 0.000 3.400 3.400 3.400 0.000" Properties=species:S:1:pos:R:3 comment="RbTaCu | OQMD | PBE | relaxed" sg="F-43m, No. 216" pbc="T T T"
Rb 0.000 0.000 0.000
Ta 3.400 3.400 3.400
Cu 1.700 1.700 1.700

***

<ii>
3
Lattice="0.000 3.694 3.694 3.694 0.000 3.694 3.694 3.694 0.000" Properties=species:S:1:pos:R:3 comment="RbTaCu | OQMD | PBE | relaxed" sg="F-43m, No. 216" pbc="T T T"
Rb 0.000 0.000 0.000
Ta 1.847 1.847 1.847
Cu 5.541 5.541 5.541

***

<i> (712 meV/atom below the next structure)

***

<i>
12
Lattice="1.674 -7.421 0.000 1.674 7.421 0.000 0.000 0.000 9.287" Properties=species:S:1:pos:R:3 comment="TlCuReS3 | OQMD | PBE | relaxed" sg="Cmcm, No. 63" pbc="T T T"
Tl 1.674 3.813 6.965
Tl 1.674 -3.813 2.322
Cu 1.674 6.754 2.322
Cu 1.674 -6.754 6.965
Re 1.674 0.000 0.000
Re 1.674 0.000 4.644
S 1.674 5.685 0.351
S 1.674 5.685 4.293
S 1.674 0.926 2.322
S 1.674 -0.926 6.965
S 1.674 -5.685 4.995
S 1.674 -5.685 8.936

***

<ii>
12
Lattice="7.640 0.000 0.000 0.000 3.628 0.000 -3.817 0.000 8.824" Properties=species:S:1:pos:R:3 comment="TlCuReS3 | OQMD | PBE | relaxed" sg="P2_1/m, No. 11" pbc="T T T"
Tl 0.876 0.907 1.890
Tl 2.948 2.721 6.934
Cu -0.131 0.907 7.837
Cu 3.955 2.721 0.987
Re -1.077 2.721 5.899
Re 4.901 0.907 2.925
S -1.225 2.721 3.431
S -1.607 2.721 8.207
S 0.505 0.907 5.680
S 3.319 2.721 3.144
S 5.430 0.907 0.617
S 5.048 0.907 5.393

***

<ii> (73 meV/atom below the next structure)

***

<i>
4
Lattice="0.000 3.209 3.209 3.209 0.000 3.209 3.209 3.209 0.000" Properties=species:S:1:pos:R:3 comment="TaCuReSb | OQMD | PBE | relaxed" sg="F-43m, No. 216" pbc="T T T"
Ta 0.000 0.000 0.000
Cu 4.813 4.813 4.813
Re 1.604 1.604 1.604
Sb 3.209 3.209 3.209

***

<ii>
4
Lattice="0.000 3.194 3.194 3.194 0.000 3.194 3.194 3.194 0.000" Properties=species:S:1:pos:R:3 comment="TaCuReSb | OQMD | PBE | relaxed" sg="F-43m, No. 216" pbc="T T T"
Ta 0.000 0.000 0.000
Cu 4.792 4.792 4.792
Re 3.194 3.194 3.194
Sb 1.597 1.597 1.597

***

<i> (210 meV/atom below the next structure)

***

<i>
4
Lattice="0.000 3.389 3.389 3.389 0.000 3.389 3.389 3.389 0.000" Properties=species:S:1:pos:R:3 comment="YCuReSb | OQMD | PBE | relaxed" sg="F-43m, No. 216" pbc="T T T"
Y 0.000 0.000 0.000
Cu 3.389 3.389 3.389
Re 5.084 5.084 5.084
Sb 1.695 1.695 1.695

***

<ii>
4
Lattice="0.000 3.336 3.336 3.336 0.000 3.336 3.336 3.336 0.000" Properties=species:S:1:pos:R:3 comment="YCuReSb | OQMD | PBE | relaxed" sg="F-43m, No. 216" pbc="T T T"
Y 0.000 0.000 0.000
Cu 5.004 5.004 5.004
Re 1.668 1.668 1.668
Sb 3.336 3.336 3.336

***

<ii> (341 meV/atom below the next structure)

***

<i>
12
Lattice="1.740 -7.700 0.000 1.740 7.700 0.000 0.000 0.000 9.668" Properties=species:S:1:pos:R:3 comment="TlCuReSe3 | OQMD | PBE | relaxed" sg="Cmcm, No. 63" pbc="T T T"
Tl 1.740 3.884 7.251
Tl 1.740 -3.884 2.417
Cu 1.740 0.657 2.417
Cu 1.740 -0.657 7.251
Re 0.000 0.000 0.000
Re 0.000 0.000 4.834
Se 1.740 6.661 2.417
Se 1.740 1.854 0.360
Se 1.740 1.854 4.474
Se 1.740 -1.854 5.194
Se 1.740 -1.854 9.308
Se 1.740 -6.661 7.251

***

<ii>
12
Lattice="7.896 0.000 0.000 0.000 3.766 0.000 -3.938 0.000 9.164" Properties=species:S:1:pos:R:3 comment="TlCuReSe3 | OQMD | PBE | relaxed" sg="P2_1/m, No. 11" pbc="T T T"
Tl 0.910 0.941 1.939
Tl 3.048 2.824 7.226
Cu -0.157 0.941 8.125
Cu 4.115 2.824 1.039
Re -1.074 2.824 6.148
Re 5.032 0.941 3.017
Se -1.227 2.824 3.548
Se -1.724 2.824 8.562
Se 0.616 0.941 5.876
Se 3.342 2.824 3.288
Se 5.682 0.941 0.602
Se 5.185 0.941 5.616

***

<ii> (79 meV/atom below the next structure)

***

<i>
4
Lattice="0.000 2.979 2.979 2.979 0.000 2.979 2.979 2.979 0.000" Properties=species:S:1:pos:R:3 comment="ZnCuReSi | OQMD | PBE | relaxed" sg="F-43m, No. 216" pbc="T T T"
Zn 0.000 0.000 0.000
Cu 4.469 4.469 4.469
Re 1.490 1.490 1.490
Si 2.979 2.979 2.979

***

<ii>
4
Lattice="0.000 3.006 3.006 3.006 0.000 3.006 3.006 3.006 0.000" Properties=species:S:1:pos:R:3 comment="ZnCuReSi | OQMD | PBE | relaxed" sg="F-43m, No. 216" pbc="T T T"
Zn 0.000 0.000 0.000
Cu 3.006 3.006 3.006
Re 4.509 4.509 4.509
Si 1.503 1.503 1.503

***

<i> (474 meV/atom below the next structure)